{"formula": "Na2MnCdO4", "functional": "PBE+U", "state": "optimized geometry", "volume_a3_per_atom": 14.772, "magmom_total_mub_per_fu": 3.00, "energy_ev_per_atom": -5.129, "sg": "I-4", "lattice": [[5.500, -0.238, -0.364], [-2.559, 4.874, 0.364], [-2.559, -1.628, 4.609]], "species": ["Na", "Na", "Mn", "Cd", "O", "O", "O", "O"], "fractional_positions": [[0.500, 0.750, 0.250], [0.000, 0.000, 0.000], [0.000, 0.500, 0.500], [0.500, 0.250, 0.750], [0.579, 0.385, 0.403], [0.017, 0.193, 0.615], [0.983, 0.597, 0.176], [0.421, 0.824, 0.807]]}